This record from the Alexandria database describes a relaxed structure of NiMo2Pb. The functional is PBE.

Unit cell a=3.9003 b=4.5049 c=7.6942 alpha=90.00 beta=90.00 gamma=90.00
Closest atoms and distances in Å follow each position.
Space group Cmmm (No. 65)
Symmetry-distinct sites (fractional):
Ni (0.0000, 0.0000, 0.0000)  8 Mo 2.50-2.75
Mo (0.0000, 0.5000, 0.2039)  4 Ni 2.50-2.75
Pb (0.0000, 0.0000, 0.5000)  4 Pb 2.98, 8 Mo 3.00-3.20

Values from the calculation:
total magnetic moment: 0.00 μB/f.u.
V: 16.90 Å³/atom
E_form: 591 meV/atom
electronic total energy: -7.20 eV/atom

This record from the Alexandria database describes a relaxed structure of NiMoPb4. The functional is PBE.

Unit cell a=8.8590 b=8.8590 c=8.8590 alpha=90.00 beta=90.00 gamma=90.00
Closest atoms and distances in Å follow each position.
Space group F-43m (No. 216)
Symmetry-distinct sites (fractional):
Ni (0.0000, 0.0000, 0.0000)  12 Pb 3.67, 4 Mo 3.84
Mo (0.2500, 0.2500, 0.2500)  12 Pb 3.67, 4 Ni 3.84
Pb (0.1248, 0.1248, 0.6248)  6 Pb 3.13-3.14

Values from the calculation:
total magnetic moment: 4.44 μB/f.u.
V: 28.97 Å³/atom
E_form: 1173 meV/atom
electronic total energy: -4.07 eV/atom

This record from the Alexandria database describes a relaxed structure of NiMo2Pb. The functional is PBE.

Unit cell a=3.4355 b=4.7994 c=8.4453 alpha=90.00 beta=90.00 gamma=90.00
Closest atoms and distances in Å follow each position.
Space group Cmm2 (No. 35)
Symmetry-distinct sites (fractional):
Ni (0.0000, 0.0000, 0.0000)  2 Mo 2.46
Mo (0.0000, 0.0000, 0.5574)  2 Mo 2.62
Mo (0.0000, 0.5000, 0.7915)  2 Ni 2.46, 2 Mo 2.62
Pb (0.0000, 0.5000, 0.2626)  2 Ni 2.80, 4 Pb 2.95, 2 Mo 3.03

Values from the calculation:
total magnetic moment: 0.00 μB/f.u.
V: 17.41 Å³/atom
E_form: 462 meV/atom
electronic total energy: -7.33 eV/atom

This record from the Alexandria database describes a relaxed structure of Ni2Mo2Pb. The functional is PBE.

Unit cell a=7.4746 b=7.4746 c=2.8857 alpha=90.00 beta=90.00 gamma=90.00
Closest atoms and distances in Å follow each position.
Space group P4/mbm (No. 127)
Symmetry-distinct sites (fractional):
Ni (0.1656, 0.3344, 0.0000)  6 Mo 2.59-2.70, 2 Pb 2.79, 2 Ni 2.89
Mo (0.1187, 0.6187, 0.5000)  1 Mo 2.51, 6 Ni 2.59-2.70
Pb (0.0000, 0.0000, 0.0000)  4 Ni 2.79, 2 Pb 2.89

Values from the calculation:
total magnetic moment: 0.00 μB/f.u.
V: 16.12 Å³/atom
E_form: 414 meV/atom
electronic total energy: -6.97 eV/atom

This record from the Alexandria database describes a relaxed structure of NiMoPb2. The functional is PBE.

Unit cell a=3.0914 b=3.0914 c=9.2336 alpha=90.00 beta=90.00 gamma=90.00
Closest atoms and distances in Å follow each position.
Space group P4mm (No. 99)
Symmetry-distinct sites (fractional):
Ni (0.0000, 0.0000, 0.0000)  4 Mo 2.57
Mo (0.5000, 0.5000, 0.8540)  4 Ni 2.57
Pb (0.0000, 0.0000, 0.6061)  4 Pb 3.09, 4 Mo 3.17
Pb (0.5000, 0.5000, 0.2144)  4 Ni 2.95, 4 Pb 3.09

Values from the calculation:
total magnetic moment: 0.00 μB/f.u.
V: 22.06 Å³/atom
E_form: 330 meV/atom
distance to the lowest polymorph of the same formula: 0.000 eV/f.u.
electronic total energy: -5.68 eV/atom

This record from the Alexandria database describes a relaxed structure of NiMoPb2. The functional is PBE.

Unit cell a=9.2542 b=3.0860 c=5.8647 alpha=90.00 beta=107.04 gamma=90.00
Closest atoms and distances in Å follow each position.
Space group C2/m (No. 12)
Symmetry-distinct sites (fractional):
Ni (0.0000, 0.0000, 0.0000)  4 Pb 2.71
Mo (0.0000, 0.5000, 0.5000)  6 Pb 2.92-2.99, 2 Mo 3.09
Pb (0.2351, 0.5000, 0.2421)  2 Ni 2.71, 3 Mo 2.92-2.99

Values from the calculation:
total magnetic moment: 0.00 μB/f.u.
V: 20.02 Å³/atom
E_form: 707 meV/atom
distance to the lowest polymorph of the same formula: 1.507 eV/f.u.
electronic total energy: -5.30 eV/atom